Crystalline CsSrAl2 at its relaxed geometry, computed with PBE.

energy of formation = 245 kJ/mol of formula units
N(E_F) = 1.160 states/eV/atom
E = -15.0 eV per cell
space-group type = I-42d (122)

Unit cell a=9.6300 b=9.6300 c=7.6233 alpha=50.83 beta=50.83 gamma=90.00
Atoms (fractional coordinates):
1 Al 0.8750 0.8465 0.7500
2 Al 0.3750 0.4035 0.7500
3 Al 0.5965 0.1250 0.2500
4 Al 0.1535 0.6250 0.2500
5 Cs 0.7500 0.2500 0.5000
6 Cs 0.0000 0.0000 0.0000
7 Sr 0.2500 0.7500 0.5000
8 Sr 0.5000 0.5000 0.0000